First-principles (GGA-PBE) data for a geometry-optimized SmErIr2 structure, as listed in the Alexandria database.

Calculated values
Its crystal system is tetragonal. The calculation puts the offset from the most stable computed form at 0.002 eV per atom. For the total moment, the calculation gives 0.00 μB per atom.

The structure in CIF format:
```
data_SmErIr2
_symmetry_space_group_name_H-M 'P 4/m m m'
_symmetry_Int_Tables_number 123
_symmetry_space_group_name_Hall '-P 4 2'
_cell_length_a 4.773
_cell_length_b 4.773
_cell_length_c 3.603
_cell_angle_alpha 90.00
_cell_angle_beta 90.00
_cell_angle_gamma 90.00
loop_
_atom_site_label
_atom_site_type_symbol
_atom_site_fract_x
_atom_site_fract_y
_atom_site_fract_z
Sm1 Sm 0.000 0.000 0.000
Er1 Er 0.500 0.500 0.000
Ir1 Ir 0.000 0.500 0.500
```

First-principles (GGA-PBE) data for a geometry-optimized AcGd3Co structure, as listed in the Alexandria database.

Calculated values
The value obtained for the raw total energy is -53.7 eV per formula unit. Its crystal system is cubic. For the total moment, the calculation gives 4.57 μB per atom.

The structure in CIF format:
```
data_AcGd3Co
_symmetry_space_group_name_H-M 'P m -3 m'
_symmetry_Int_Tables_number 221
_symmetry_space_group_name_Hall '-P 4 2 3'
_cell_length_a 5.413
_cell_length_b 5.413
_cell_length_c 5.413
_cell_angle_alpha 90.00
_cell_angle_beta 90.00
_cell_angle_gamma 90.00
loop_
_atom_site_label
_atom_site_type_symbol
_atom_site_fract_x
_atom_site_fract_y
_atom_site_fract_z
Ac1 Ac 0.000 0.000 0.000
Gd1 Gd 0.000 0.500 0.500
Co1 Co 0.500 0.500 0.500
```

First-principles (GGA-PBE) data for a geometry-optimized TiSiNi14 structure, as listed in the Alexandria database.

Calculated values
Its crystal system is tetragonal. As for the energy relative to the elements, uncorrected: -194 meV/atom. For the total moment, the calculation gives 0.30 μB per atom.

The structure in CIF format:
```
data_TiSiNi14
_symmetry_space_group_name_H-M 'P 4/m m m'
_symmetry_Int_Tables_number 123
_symmetry_space_group_name_Hall '-P 4 2'
_cell_length_a 5.013
_cell_length_b 5.013
_cell_length_c 7.047
_cell_angle_alpha 90.00
_cell_angle_beta 90.00
_cell_angle_gamma 90.00
loop_
_atom_site_label
_atom_site_type_symbol
_atom_site_fract_x
_atom_site_fract_y
_atom_site_fract_z
Ti1 Ti 0.000 0.000 0.000
Si1 Si 0.500 0.500 0.000
Ni1 Ni 0.000 0.000 0.500
Ni2 Ni 0.000 0.500 0.000
Ni3 Ni 0.000 0.500 0.500
Ni4 Ni 0.253 0.253 0.251
Ni5 Ni 0.500 0.500 0.500
```